Below is a relaxed ZnAgGe2O6 crystal, with properties calculated at the PBE level.

```
ZnAgGe2O6
1.0
5.202 -5.113 0.000
5.202 5.113 0.000
-2.088 0.000 5.199
Zn Ag Ge O
2 2 4 12
direct
0.234 0.766 0.750
0.766 0.234 0.250
0.104 0.896 0.250
0.896 0.104 0.750
0.220 0.388 0.276
0.388 0.220 0.776
0.612 0.780 0.224
0.780 0.612 0.724
0.025 0.210 0.154
0.148 0.614 0.402
0.210 0.025 0.654
0.314 0.397 0.016
0.386 0.852 0.098
0.397 0.314 0.516
0.603 0.686 0.484
0.614 0.148 0.902
0.686 0.603 0.984
0.790 0.975 0.346
0.852 0.386 0.598
0.975 0.790 0.846
```

For the volume, the calculation gives 13.83 A^3/atom. As for the space group: C2/c. The formation energy (no corrections) is -12.246 eV per formula unit.